Record 1
Material: Cd2Ag3
Method: DFT, GGA-PBE
State: optimized geometry

Calculated values
Its crystal system is tetragonal. The value obtained for the formation energy is -0.0393 eV per atom. As for the density: 9534 kg/m3.

a = 10.3421 Å, b = 3.0736 Å, c = 3.0736 Å
α = 90.00°, β = 81.45°, γ = 98.55°
Last column: nearest neighbours and their distance in Å.
Fractional positions:
Ag1 0.0036 0.0018 0.9982  8 Ag 2.92-3.07, 4 Cd 2.97
Ag2 0.1964 0.5982 0.4018  8 Ag 2.92-3.07, 4 Cd 2.97
Ag3 0.6000 0.8000 0.2000  8 Cd 2.99, 4 Ag 3.07
Cd1 0.3967 0.1984 0.8016  8 Ag 2.97-2.99, 4 Cd 3.07
Cd2 0.8033 0.4016 0.5984  8 Ag 2.97-2.99, 4 Cd 3.07

---

Record 2
Material: Cd2Ag
Method: DFT, GGA-PBE
State: optimized geometry

Calculated values
Its crystal system is tetragonal. The value obtained for the formation energy is 0.0008 eV per atom. As for the density: 8466 kg/m3.

a = 5.5823 Å, b = 5.5823 Å, c = 5.5823 Å
α = 104.51°, β = 104.51°, γ = 119.94°
Last column: nearest neighbours and their distance in Å.
Fractional positions:
Ag1 0.2500 0.2500 0.0000  2 Ag 2.79, 8 Cd 2.93
Ag2 0.7500 0.7500 0.0000  2 Ag 2.79, 8 Cd 2.93
Cd1 0.1566 0.3434 0.5000  4 Ag 2.93, 1 Cd 3.03
Cd2 0.3434 0.8434 0.1868  4 Ag 2.93, 1 Cd 3.03
Cd3 0.6566 0.1566 0.8132  4 Ag 2.93, 1 Cd 3.03
Cd4 0.8434 0.6566 0.5000  4 Ag 2.93, 1 Cd 3.03

---

Record 3
Material: Cd2Ag
Method: DFT, GGA-PBE
State: optimized geometry

Calculated values
Its crystal system is cubic. The value obtained for the formation energy is 0.0451 eV per atom. As for the density: 7676 kg/m3.

a = 4.6690 Å, b = 4.6690 Å, c = 4.6690 Å
α = 60.00°, β = 60.00°, γ = 60.00°
Last column: nearest neighbours and their distance in Å.
Fractional positions:
Ag1 0.0000 0.0000 0.0000  8 Cd 2.86
Cd1 0.7500 0.7500 0.7500  4 Ag 2.86
Cd2 0.2500 0.2500 0.2500  4 Ag 2.86

---

Record 4
Material: CdAg2
Method: DFT, GGA-PBE
State: optimized geometry

Calculated values
Its crystal system is tetragonal. The value obtained for the formation energy is -0.0369 eV per atom. As for the density: 9647 kg/m3.

a = 4.1651 Å, b = 4.1651 Å, c = 13.3532 Å
α = 98.97°, β = 98.97°, γ = 90.00°
Last column: nearest neighbours and their distance in Å.
Fractional positions:
Ag1 0.2501 0.2501 0.5003  8 Ag 2.95-3.00, 4 Cd 2.96-2.97
Ag2 0.7499 0.7499 0.4997  8 Ag 2.95-3.00, 4 Cd 2.96-2.97
Ag3 0.5001 0.0001 0.0003  8 Ag 2.95-3.00, 4 Cd 2.96-2.97
Ag4 0.9999 0.4999 0.9997  8 Ag 2.95-3.00, 4 Cd 2.96-2.97
Ag5 0.4172 0.4172 0.8344  6 Cd 2.95-3.06, 6 Ag 3.00-3.03
Ag6 0.5828 0.5828 0.1656  6 Cd 2.95-3.06, 6 Ag 3.00-3.03
Ag7 0.6672 0.1672 0.3344  6 Cd 2.95-3.06, 6 Ag 3.00-3.03
Ag8 0.8328 0.3328 0.6656  6 Cd 2.95-3.06, 6 Ag 3.00-3.03
Cd1 0.0811 0.0811 0.1623  10 Ag 2.95-3.06, 2 Cd 3.09
Cd2 0.9189 0.9189 0.8377  10 Ag 2.95-3.06, 2 Cd 3.09
Cd3 0.3311 0.8311 0.6623  10 Ag 2.95-3.06, 2 Cd 3.09
Cd4 0.1689 0.6689 0.3377  10 Ag 2.95-3.06, 2 Cd 3.09

---

Record 5
Material: CdAg3
Method: DFT, GGA-PBE
State: optimized geometry

Calculated values
Its crystal system is monoclinic. The value obtained for the formation energy is -0.0373 eV per atom. As for the density: 9749 kg/m3.

a = 5.1410 Å, b = 5.1410 Å, c = 11.9135 Å
α = 150.06°, β = 150.06°, γ = 33.80°
Last column: nearest neighbours and their distance in Å.
Fractional positions:
Ag1 0.9964 0.9964 0.9976  9 Ag 2.95-2.99, 3 Cd 2.97-2.98
Ag2 0.0036 0.0036 0.5024  9 Ag 2.95-2.99, 3 Cd 2.97-2.98
Ag3 0.0000 0.0000 0.7500  8 Ag 2.95-2.99, 4 Cd 2.97
Cd1 0.0000 0.0000 0.2500  10 Ag 2.97-2.98, 2 Cd 2.99

---

Record 6
Material: Cd2Ag3
Method: DFT, GGA-PBE
State: optimized geometry

Calculated values
Its crystal system is monoclinic. The value obtained for the formation energy is -0.0387 eV per atom. As for the density: 9559 kg/m3.

a = 4.2657 Å, b = 5.0729 Å, c = 5.3052 Å
α = 77.97°, β = 66.29°, γ = 65.14°
Last column: nearest neighbours and their distance in Å.
Fractional positions:
Ag1 0.9995 0.0006 0.0004  6 Cd 2.93-3.04, 6 Ag 2.95-3.05
Ag2 0.2000 0.2000 0.4000  6 Cd 2.93-3.01, 6 Ag 3.02-3.05
Ag3 0.4005 0.3994 0.7996  6 Cd 2.93-3.04, 6 Ag 2.95-3.05
Cd1 0.6050 0.5920 0.1979  9 Ag 2.93-3.04, 3 Cd 3.01-3.09
Cd2 0.7950 0.8080 0.6021  9 Ag 2.93-3.04, 3 Cd 3.01-3.09

---

Record 7
Material: Cd3Ag4
Method: DFT, GGA-PBE
State: optimized geometry

Calculated values
Its crystal system is tetragonal. The value obtained for the formation energy is -0.0233 eV per atom. As for the density: 9440 kg/m3.

a = 11.5803 Å, b = 11.5803 Å, c = 11.5803 Å
α = 162.83°, β = 162.83°, γ = 24.37°
Last column: nearest neighbours and their distance in Å.
Fractional positions:
Ag1 0.1386 0.1386 0.0000  4 Ag 2.89, 5 Cd 2.91-3.14
Ag2 0.4295 0.4295 0.0000  5 Ag 2.89-3.19, 5 Cd 2.92-3.12
Ag3 0.5705 0.5705 0.0000  5 Ag 2.89-3.19, 5 Cd 2.92-3.12
Ag4 0.8614 0.8614 0.0000  4 Ag 2.89, 5 Cd 2.91-3.14
Cd1 0.0000 0.0000 0.0000  10 Ag 2.92-3.14
Cd2 0.2916 0.2916 0.0000  5 Ag 2.91-3.12, 4 Cd 3.09
Cd3 0.7084 0.7084 0.0000  5 Ag 2.91-3.12, 4 Cd 3.09

---

Record 8
Material: Cd2Ag
Method: DFT, GGA-PBE
State: optimized geometry

Calculated values
Its crystal system is orthorhombic. The value obtained for the formation energy is -0.0190 eV per atom. As for the density: 9102 kg/m3.

a = 5.2824 Å, b = 5.2824 Å, c = 5.2824 Å
α = 144.60°, β = 134.17°, γ = 59.21°
Last column: nearest neighbours and their distance in Å.
Fractional positions:
Ag1 0.0000 0.0000 0.0000  10 Cd 3.01-3.09, 2 Ag 3.21
Cd1 0.6638 0.6638 0.0000  7 Cd 3.01-3.21, 5 Ag 3.01-3.09
Cd2 0.3362 0.3362 0.0000  7 Cd 3.01-3.21, 5 Ag 3.01-3.09

---

Record 9
Material: CdAg
Method: DFT, GGA-PBE
State: optimized geometry

Calculated values
Its crystal system is orthorhombic. The value obtained for the formation energy is 0.0387 eV per atom. As for the density: 8304 kg/m3.

a = 2.9451 Å, b = 12.7924 Å, c = 7.0155 Å
α = 90.00°, β = 90.00°, γ = 90.00°
Last column: nearest neighbours and their distance in Å.
Fractional positions:
Cd1 0.0000 0.2717 0.8015  5 Ag 2.88-2.93, 2 Cd 2.95
Cd2 0.0000 0.7283 0.8015  5 Ag 2.88-2.93, 2 Cd 2.95
Cd3 0.0000 0.7717 0.3015  5 Ag 2.88-2.93, 2 Cd 2.95
Cd4 0.0000 0.2283 0.3015  5 Ag 2.88-2.93, 2 Cd 2.95
Cd5 0.0000 0.0000 0.9035  5 Ag 2.79-2.99, 2 Cd 2.95
Cd6 0.0000 0.5000 0.4035  5 Ag 2.79-2.99, 2 Cd 2.95
Ag1 0.5000 0.8857 0.5975  6 Cd 2.88-2.99, 5 Ag 2.92-2.95
Ag2 0.5000 0.1143 0.5975  6 Cd 2.88-2.99, 5 Ag 2.92-2.95
Ag3 0.5000 0.3857 0.0975  6 Cd 2.88-2.99, 5 Ag 2.92-2.95
Ag4 0.5000 0.6143 0.0975  6 Cd 2.88-2.99, 5 Ag 2.92-2.95
Ag5 0.0000 0.0000 0.3005  3 Cd 2.79-2.92, 6 Ag 2.94-2.95
Ag6 0.0000 0.5000 0.8005  3 Cd 2.79-2.92, 6 Ag 2.94-2.95

---

Record 10
Material: Cd3Ag5
Method: DFT, GGA-PBE
State: optimized geometry

Calculated values
Its crystal system is orthorhombic. The value obtained for the formation energy is -0.0430 eV per atom. As for the density: 9584 kg/m3.

a = 5.8511 Å, b = 5.8511 Å, c = 4.4389 Å
α = 90.00°, β = 90.00°, γ = 87.99°
Last column: nearest neighbours and their distance in Å.
Fractional positions:
Ag1 0.0000 0.0000 0.0000  8 Ag 2.93-3.04, 4 Cd 3.00
Ag2 0.0000 0.5000 0.0000  6 Ag 2.93-3.06, 6 Cd 2.93-3.01
Ag3 0.5000 0.0000 0.0000  6 Cd 2.93-3.01, 6 Ag 2.93-3.06
Ag4 0.7449 0.2551 0.5000  6 Cd 2.90-2.98, 6 Ag 3.04-3.06
Ag5 0.2551 0.7449 0.5000  6 Cd 2.90-2.98, 6 Ag 3.04-3.06
Cd1 0.5000 0.5000 0.0000  8 Ag 2.93-2.98, 4 Cd 3.12
Cd2 0.2403 0.2403 0.5000  10 Ag 2.90-3.01, 2 Cd 3.12
Cd3 0.7597 0.7597 0.5000  10 Ag 2.90-3.01, 2 Cd 3.12

---

Record 11
Material: Cd5Ag
Method: DFT, GGA-PBE
State: optimized geometry

Calculated values
Its crystal system is monoclinic. The value obtained for the formation energy is -0.0214 eV per atom. As for the density: 8803 kg/m3.

a = 5.7505 Å, b = 5.7505 Å, c = 11.8084 Å
α = 139.75°, β = 139.75°, γ = 32.20°
Last column: nearest neighbours and their distance in Å.
Fractional positions:
Ag1 0.9998 0.9998 0.0022  10 Cd 2.99-3.15, 2 Ag 3.19
Cd1 0.1224 0.1224 0.7308  10 Cd 2.97-3.19, 2 Ag 2.99
Cd2 0.3372 0.3372 0.6707  10 Cd 2.97-3.24, 2 Ag 3.15
Cd3 0.4427 0.4427 0.3864  11 Cd 3.02-3.19, 1 Ag 3.04
Cd4 0.6607 0.6607 0.3231  10 Cd 3.02-3.24, 2 Ag 3.06
Cd5 0.7705 0.7705 0.0534  9 Cd 2.99-3.19, 3 Ag 3.00-3.04